# 1
## ZnIN2 (PBE)

Data for a relaxed structure of ZnIN2.

Properties
Raw formation energy = 1.196 eV per atom
Energy above the most stable polymorph in this dataset = 0 meV per atom
Density = 6.12 Mg/m³
Calculated total energy = -3.6728 eV/atom

Unit cell a=3.3654 b=3.3654 c=18.2974 alpha=90.00 beta=90.00 gamma=120.00
Space group R-3m (No. 166, hexagonal axes)
Inequivalent atoms, fractional coordinates:
Zn 0.0000 0.0000 0.0000 (multiplicity 3)
I 0.0000 0.0000 0.5000 (multiplicity 3)
N 0.0000 0.0000 0.3863 (multiplicity 6)

***

# 2
## ZrZnI2N (PBE)

Data for a relaxed structure of ZrZnI2N.

Properties
Raw formation energy = 0.656 eV per atom
Energy above the most stable polymorph in this dataset = 765 meV per atom
Density = 6.06 Mg/m³
Calculated total energy = -3.5937 eV/atom

Unit cell a=5.648 b=5.648 c=3.648 alpha=90.00 beta=90.00 gamma=90.00
Space group P4/mmm (No. 123)
Inequivalent atoms, fractional coordinates:
Zr 0.000 0.000 0.000 (multiplicity 1)
Zn 0.500 0.500 0.500 (multiplicity 1)
I 0.000 0.500 0.500 (multiplicity 2)
N 0.500 0.500 0.000 (multiplicity 1)

***

# 3
## ZrZnI2N (PBE)

Data for a relaxed structure of ZrZnI2N.

Properties
Raw formation energy = -0.109 eV per atom
Energy above the most stable polymorph in this dataset = 0 meV per atom
Density = 4.87 Mg/m³
Calculated total energy = -4.3584 eV/atom

Unit cell a=5.990 b=5.990 c=4.031 alpha=90.00 beta=90.00 gamma=90.00
Space group P4/mmm (No. 123)
Inequivalent atoms, fractional coordinates:
Zr 0.000 0.000 0.000 (multiplicity 1)
Zn 0.500 0.500 0.500 (multiplicity 1)
I 0.000 0.500 0.000 (multiplicity 2)
N 0.000 0.000 0.500 (multiplicity 1)

***

# 4
## ZrIN (PBE)

Data for a relaxed structure of ZrIN.

Properties
Raw formation energy = -1.140 eV per atom
Density = 4.41 Mg/m³
Calculated total energy = -7.2810 eV/atom

Unit cell a=14.884 b=3.712 c=6.651 alpha=90.00 beta=108.09 gamma=90.00
Space group C2/m (No. 12)
Inequivalent atoms, fractional coordinates:
Zr 0.249 0.000 0.315 (multiplicity 4)
I 0.117 0.000 0.828 (multiplicity 4)
N 0.191 0.500 0.365 (multiplicity 4)

***

# 5
## Zr2IN (PBE)

Data for a relaxed structure of Zr2IN.

Properties
Raw formation energy = 0.240 eV per atom
Density = 7.49 Mg/m³
Calculated total energy = -6.5025 eV/atom

Unit cell a=6.594 b=6.594 c=6.594 alpha=90.00 beta=90.00 gamma=90.00
Space group Fm-3m (No. 225)
Inequivalent atoms, fractional coordinates:
Zr 0.250 0.250 0.250 (multiplicity 8)
I 0.000 0.000 0.000 (multiplicity 4)
N 0.000 0.000 0.500 (multiplicity 4)

***

# 6
## ZrIN2 (PBE)

Data for a relaxed structure of ZrIN2.

Properties
Raw formation energy = 1.103 eV per atom
Energy above the most stable polymorph in this dataset = 1350 meV per atom
Density = 7.42 Mg/m³
Calculated total energy = -5.5842 eV/atom

Unit cell a=6.039 b=6.039 c=6.039 alpha=90.00 beta=90.00 gamma=90.00
Space group Fm-3m (No. 225)
Inequivalent atoms, fractional coordinates:
Zr 0.000 0.000 0.000 (multiplicity 4)
I 0.000 0.000 0.500 (multiplicity 4)
N 0.250 0.250 0.250 (multiplicity 8)